DFT (PBEsol) results for crystalline LiCaZn4 at its relaxed geometry.

The structure in POSCAR format:
```
LiCaZn4
1.0
0.000 3.723 3.723
3.723 0.000 3.723
3.723 3.723 0.000
Li Ca Zn
1 1 4
direct
0.000 0.000 0.000 Li
0.750 0.750 0.750 Ca
0.374 0.374 0.374 Zn
0.374 0.374 0.878 Zn
0.374 0.878 0.374 Zn
0.878 0.374 0.374 Zn
```

The calculation puts the total magnetic moment at 0.000 μB per atom. The formation energy comes out at -0.2241 eV/atom.